# CuB4Au

Crystalline CuB4Au at its relaxed geometry (PBE, OQMD via LeMat-Bulk).

a b c (Å): 4.8986 4.8986 4.8986
angles (deg): 146.24 112.79 77.37
Element x y z (fractional)
Au 0.0000 0.0000 0.0000
B 0.8929 0.2371 0.6558
B 0.4187 0.7629 0.6558
B 0.1071 0.7629 0.3442
B 0.5813 0.2371 0.3442
Cu 0.5000 0.5000 0.0000

Energy relative to the lowest polymorph listed for this composition = 26 meV per atom
Space-group type = Immm, No. 71